{"formula": "CrIrRuO2", "functional": "GGA+U", "state": "optimized geometry", "lattice": [[3.6925, 0.0000, 0.0000], [0.0000, 3.6925, 0.0000], [0.0000, 0.0000, 5.5053]], "species": ["Cr", "Ir", "Ru", "O", "O"], "fractional_positions": [[0.0000, 0.0000, 0.0000], [0.5000, 0.5000, 0.0000], [0.5000, 0.5000, 0.5000], [0.0000, 0.5000, 0.5000], [0.5000, 0.0000, 0.5000]], "e_tot_ev_per_cell": -33.213}